Entry 1:
A relaxed Mg2ScTl2 crystal. Source: Alexandria via LeMat-Bulk, functional PBE.

Computed properties:
DOS(E_F) (states/eV/f.u.): 3.1
Calculated formation energy (kJ per mole of atoms): -2.6

a b c (Å): 8.3133 8.3133 3.5225
angles (deg): 90.00 90.00 90.00
Atoms (fractional coordinates):
Mg1 0.1492 0.3508 0.0000
Mg2 0.3508 0.8508 0.0000
Mg3 0.6492 0.1492 0.0000
Mg4 0.8508 0.6492 0.0000
Sc1 0.0000 0.0000 0.5000
Sc2 0.5000 0.5000 0.5000
Tl1 0.1516 0.6516 0.5000
Tl2 0.3484 0.1516 0.5000
Tl3 0.6516 0.8484 0.5000
Tl4 0.8484 0.3484 0.5000

Entry 2:
A relaxed InNi5W crystal. Source: Alexandria via LeMat-Bulk, functional PBE.

Computed properties:
DOS(E_F) (states/eV/f.u.): 6.8
Calculated formation energy (kJ per mole of atoms): 0.1

a b c (Å): 3.5923 3.5923 7.6111
angles (deg): 90.00 90.00 90.00
Atoms (fractional coordinates):
In1 0.0000 0.0000 0.0000
Ni1 0.0000 0.0000 0.5000
Ni2 0.0000 0.5000 0.2661
Ni3 0.0000 0.5000 0.7339
Ni4 0.5000 0.0000 0.2661
Ni5 0.5000 0.0000 0.7339
W1 0.5000 0.5000 0.5000

Entry 3:
A relaxed TbInAu3 crystal. Source: Alexandria via LeMat-Bulk, functional PBE.

Computed properties:
DOS(E_F) (states/eV/f.u.): 2.1
Calculated formation energy (kJ per mole of atoms): -52.9

a b c (Å): 4.8142 6.4495 7.0040
angles (deg): 90.00 90.00 90.00
Atoms (fractional coordinates):
Tb1 0.2500 0.2500 0.1859
Tb2 0.7500 0.7500 0.8141
In1 0.2500 0.7500 0.4515
In2 0.7500 0.2500 0.5485
Au1 0.2500 0.0357 0.7500
Au2 0.2500 0.4643 0.7500
Au3 0.2500 0.7500 0.0643
Au4 0.7500 0.2500 0.9357
Au5 0.7500 0.5357 0.2500
Au6 0.7500 0.9643 0.2500

Across the entries above, DFT total energy takes the values -14.39, -44.59, -19.94 eV per formula unit, respectively.
Across the entries above, density takes the values 6.9, 10.0, 13.2 g/cm³, respectively.